{"formula": "LiErTm2", "functional": "GGA-PBE", "state": "relaxed", "cell": [[5.4562, 0.0000, 0.0000], [0.0000, 5.4562, 0.0000], [0.0000, 0.0000, 3.7521]], "species": ["Li", "Er", "Tm", "Tm"], "frac_coords": [[0.0000, 0.0000, 0.0000], [0.5000, 0.5000, 0.0000], [0.0000, 0.5000, 0.5000], [0.5000, 0.0000, 0.5000]], "formation_enthalpy_0k_mev_per_atom": 164, "rho_kg_m3": 7612, "de_polymorph_mev_per_atom": 89, "magnetic_moment_mub_per_cell": 0.00}

***

{"formula": "Sn2OsCl", "functional": "GGA-PBE", "state": "relaxed", "cell": [[-3.1813, 3.1813, 6.2805], [3.1813, -3.1813, 6.2805], [3.1813, 3.1813, -6.2805]], "species": ["Sn", "Sn", "Sn", "Sn", "Os", "Os", "Cl", "Cl"], "frac_coords": [[0.0616, 0.6250, 0.9366], [0.3750, 0.3116, 0.4366], [0.6884, 0.1250, 0.0634], [0.8750, 0.9384, 0.5634], [0.0000, 0.0000, 0.0000], [0.7500, 0.2500, 0.5000], [0.2500, 0.7500, 0.5000], [0.5000, 0.5000, 0.0000]], "rho_kg_m3": 6049, "de_polymorph_mev_per_atom": 0, "magnetic_moment_mub_per_cell": 0.00}

***

{"formula": "PuThFePt", "functional": "GGA-PBE", "state": "relaxed", "cell": [[0.0000, 3.5090, 3.5090], [3.5090, 0.0000, 3.5090], [3.5090, 3.5090, 0.0000]], "species": ["Pu", "Th", "Fe", "Pt"], "frac_coords": [[0.0000, 0.0000, 0.0000], [0.5000, 0.5000, 0.5000], [0.7500, 0.7500, 0.7500], [0.2500, 0.2500, 0.2500]], "formation_enthalpy_0k_mev_per_atom": -331, "rho_kg_m3": 13970, "magnetic_moment_mub_per_cell": 4.02}

***

{"formula": "RbCd4Cl8", "functional": "GGA-PBE", "state": "relaxed", "cell": [[0.0000, 5.9456, 5.9456], [5.9456, 0.0000, 5.9456], [5.9456, 5.9456, 0.0000]], "species": ["Rb", "Cd", "Cd", "Cd", "Cd", "Cl", "Cl", "Cl", "Cl", "Cl", "Cl", "Cl", "Cl"], "frac_coords": [[0.0000, 0.0000, 0.0000], [0.3789, 0.3789, 0.3789], [0.3789, 0.3789, 0.8634], [0.3789, 0.8634, 0.3789], [0.8634, 0.3789, 0.3789], [0.1477, 0.1477, 0.1477], [0.1477, 0.1477, 0.5569], [0.1477, 0.5569, 0.1477], [0.1734, 0.6089, 0.6089], [0.5569, 0.1477, 0.1477], [0.6089, 0.1734, 0.6089], [0.6089, 0.6089, 0.1734], [0.6089, 0.6089, 0.6089]], "rho_kg_m3": 3234, "final_energy_ev_per_fu": -33.253, "magnetic_moment_mub_per_cell": 0.00}

***

{"formula": "SrAgAu", "functional": "GGA-PBE", "state": "relaxed", "cell": [[0.0000, 3.6470, 3.6470], [3.6470, 0.0000, 3.6470], [3.6470, 3.6470, 0.0000]], "species": ["Sr", "Ag", "Au"], "frac_coords": [[0.0000, 0.0000, 0.0000], [0.2500, 0.2500, 0.2500], [0.7500, 0.7500, 0.7500]], "formation_enthalpy_0k_mev_per_atom": -146, "rho_kg_m3": 6717, "de_polymorph_mev_per_atom": 392, "magnetic_moment_mub_per_cell": 0.00}

***

{"formula": "BaP2PbO6", "functional": "GGA-PBE", "state": "relaxed", "cell": [[4.8195, -5.3086, 0.0000], [4.8195, 5.3086, 0.0000], [-2.4154, 0.0000, 6.6889]], "species": ["Ba", "Ba", "P", "P", "P", "P", "Pb", "Pb", "O", "O", "O", "O", "O", "O", "O", "O", "O", "O", "O", "O"], "frac_coords": [[0.1618, 0.8382, 0.7500], [0.8382, 0.1618, 0.2500], [0.1135, 0.3210, 0.7612], [0.3210, 0.1135, 0.2612], [0.6790, 0.8865, 0.7388], [0.8865, 0.6790, 0.2388], [0.3986, 0.6014, 0.2500], [0.6014, 0.3986, 0.7500], [0.0780, 0.6156, 0.3429], [0.1688, 0.1862, 0.1090], [0.1862, 0.1688, 0.6090], [0.2718, 0.5050, 0.8653], [0.3844, 0.9220, 0.1571], [0.4950, 0.7282, 0.6347], [0.5050, 0.2718, 0.3653], [0.6156, 0.0780, 0.8429], [0.7282, 0.4950, 0.1347], [0.8138, 0.8312, 0.3910], [0.8312, 0.8138, 0.8910], [0.9220, 0.3844, 0.6571]], "rho_kg_m3": 4876, "final_energy_ev_per_fu": -65.907, "magnetic_moment_mub_per_cell": 0.00}

***

{"formula": "ScPdBr6", "functional": "GGA-PBE", "state": "relaxed", "cell": [[6.5248, 0.0000, 0.0000], [3.0691, 5.8758, 0.0000], [0.0393, 3.6879, 5.9224]], "species": ["Sc", "Pd", "Br", "Br", "Br", "Br", "Br", "Br"], "frac_coords": [[0.0000, 0.0000, 0.0000], [0.5000, 0.0000, 0.5000], [0.0867, 0.5119, 0.2415], [0.2663, 0.8281, 0.7527], [0.4145, 0.8440, 0.2588], [0.5855, 0.1560, 0.7412], [0.7337, 0.1719, 0.2473], [0.9133, 0.4881, 0.7585]], "rho_kg_m3": 4613, "final_energy_ev_per_fu": -28.258, "magnetic_moment_mub_per_cell": 0.93}

***

{"formula": "PmLuPd", "functional": "GGA-PBE", "state": "relaxed", "cell": [[0.0000, 3.4671, 3.4671], [3.4671, 0.0000, 3.4671], [3.4671, 3.4671, 0.0000]], "species": ["Pm", "Lu", "Pd"], "frac_coords": [[0.0000, 0.0000, 0.0000], [0.5000, 0.5000, 0.5000], [0.7500, 0.7500, 0.7500]], "formation_enthalpy_0k_mev_per_atom": -465, "rho_kg_m3": 8494, "de_polymorph_mev_per_atom": 86, "magnetic_moment_mub_per_cell": 0.00}

***

{"formula": "AcPr2Zn2", "functional": "GGA-PBE", "state": "relaxed", "cell": [[1.9312, -10.3563, 0.0000], [1.9312, 10.3563, 0.0000], [0.0000, 0.0000, 3.7688]], "species": ["Ac", "Pr", "Pr", "Zn", "Zn"], "frac_coords": [[0.0000, 0.0000, 0.0000], [0.1777, 0.8223, 0.0000], [0.8223, 0.1777, 0.0000], [0.4018, 0.5982, 0.5000], [0.5982, 0.4018, 0.5000]], "formation_enthalpy_0k_mev_per_atom": -143, "rho_kg_m3": 7046, "de_polymorph_mev_per_atom": 21, "magnetic_moment_mub_per_cell": 0.00}

***

{"formula": "Y3InN", "functional": "GGA-PBE", "state": "relaxed", "cell": [[5.7061, -2.5032, 0.0000], [5.7061, 2.5032, 0.0000], [-3.4154, 0.0000, 8.0704]], "species": ["Y", "Y", "Y", "Y", "Y", "Y", "In", "In", "N", "N"], "frac_coords": [[0.1016, 0.1016, 0.1945], [0.1431, 0.1431, 0.6627], [0.3606, 0.3606, 0.0724], [0.6394, 0.6394, 0.9276], [0.8569, 0.8569, 0.3373], [0.8984, 0.8984, 0.8055], [0.3974, 0.3974, 0.5688], [0.6026, 0.6026, 0.4312], [0.1268, 0.1268, 0.9294], [0.8732, 0.8732, 0.0706]], "rho_kg_m3": 5698, "final_energy_ev_per_fu": -34.644, "magnetic_moment_mub_per_cell": 1.35}

***

{"formula": "FeSb2Te", "functional": "GGA-PBE", "state": "relaxed", "cell": [[0.0000, 3.6136, 3.6136], [3.6136, 0.0000, 3.6136], [3.6136, 3.6136, 0.0000]], "species": ["Fe", "Sb", "Sb", "Te"], "frac_coords": [[0.0000, 0.0000, 0.0000], [0.2500, 0.2500, 0.2500], [0.5000, 0.5000, 0.5000], [0.7500, 0.7500, 0.7500]], "rho_kg_m3": 7513, "final_energy_ev_per_fu": -17.663, "magnetic_moment_mub_per_cell": 2.82}

***

{"formula": "Ga2HgTe2", "functional": "GGA-PBE", "state": "relaxed", "cell": [[-2.6768, 2.6768, 4.7251], [2.6768, -2.6768, 4.7251], [2.6768, 2.6768, -4.7251]], "species": ["Ga", "Ga", "Hg", "Te", "Te"], "frac_coords": [[0.1355, 0.1355, 0.0000], [0.8645, 0.8645, 0.0000], [0.5000, 0.5000, 0.0000], [0.2500, 0.7500, 0.5000], [0.7500, 0.2500, 0.5000]], "rho_kg_m3": 7299, "de_polymorph_mev_per_atom": 27, "magnetic_moment_mub_per_cell": 0.00}